First-principles (SCAN) data for a crystal of BaErCuS3 relaxed with PBEsol, as listed in Alexandria.

Its total energy is -582.61 eV/cell. For the uncorrected formation energy, the calculation gives -1.9464 eV/atom. As for the crystal system: orthorhombic.

Geometry as CIF:
```
data_BaErCuS3
_space_group_name_H-M_alt 'C m c m'
_space_group_IT_number 63
_space_group_name_Hall '-C 2c 2'
_cell_length_a 3.937
_cell_length_b 13.359
_cell_length_c 10.015
_cell_angle_alpha 90.00
_cell_angle_beta 90.00
_cell_angle_gamma 90.00
loop_
_atom_site_label
_atom_site_type_symbol
_atom_site_fract_x
_atom_site_fract_y
_atom_site_fract_z
_atom_site_occupancy
Ba1 Ba 0.000 0.244 0.250 1
Er1 Er 0.000 0.500 0.000 1
Cu1 Cu 0.000 0.031 0.750 1
S1 S 0.000 0.131 0.562 1
S2 S 0.000 0.434 0.750 1
```



First-principles (SCAN) data for a crystal of Ba4Eu2Cu6O13 relaxed with PBEsol, as listed in Alexandria.

The value obtained for the density of states at the Fermi level is 25.36 states/eV per cell. Its total energy is -1944.54 eV/cell. For the uncorrected formation energy, the calculation gives -1.9323 eV/atom. As for the crystal system: orthorhombic.

Geometry as CIF:
```
data_Ba4Eu2Cu6O13
_space_group_name_H-M_alt 'F m m m'
_space_group_IT_number 69
_space_group_name_Hall '-F 2 2'
_cell_length_a 7.650
_cell_length_b 7.775
_cell_length_c 23.563
_cell_angle_alpha 90.00
_cell_angle_beta 90.00
_cell_angle_gamma 90.00
loop_
_atom_site_label
_atom_site_type_symbol
_atom_site_fract_x
_atom_site_fract_y
_atom_site_fract_z
_atom_site_occupancy
Ba1 Ba 0.242 0.000 0.095 1
Eu1 Eu 0.250 0.000 0.250 1
Cu1 Cu 0.000 0.241 0.000 1
Cu2 Cu 0.000 0.248 0.321 1
O1 O 0.000 0.000 0.000 1
O2 O 0.000 0.000 0.185 1
O3 O 0.000 0.000 0.313 1
O4 O 0.000 0.229 0.424 1
O5 O 0.250 0.250 0.186 1
```